1.
## LiLaBiAu (GGA-PBE)

Data for an optimized crystal structure of LiLaBiAu.

Structure (CIF):
```
data_LiLaBiAu
_chemical_formula_sum 'Li1 La1 Bi1 Au1'
_symmetry_space_group_name_H-M 'P 1'
_symmetry_Int_Tables_number 1
_cell_length_a 5.218
_cell_length_b 5.218
_cell_length_c 5.218
_cell_angle_alpha 60.00
_cell_angle_beta 60.00
_cell_angle_gamma 60.00
loop_
_symmetry_equiv_pos_as_xyz
'x,y,z'
loop_
_atom_site_label
_atom_site_type_symbol
_atom_site_fract_x
_atom_site_fract_y
_atom_site_fract_z
_atom_site_occupancy
Li1 Li 0.000 0.000 0.000 1
La1 La 0.250 0.250 0.250 1
Bi1 Bi 0.500 0.500 0.500 1
Au1 Au 0.750 0.750 0.750 1
```

Calculated values
The calculation puts the distance to the lowest polymorph of the same formula at 350 meV/atom. As for the volume: 100.45 Å³/cell. Its calculated total energy is -3.899 eV per atom. The space group is No. 216. Its total magnetization is 0.00 Bohr magnetons per cell.

2.
## LiLaBiAu (GGA-PBE)

Data for an optimized crystal structure of LiLaBiAu.

Structure (CIF):
```
data_LiLaBiAu
_chemical_formula_sum 'Li1 La1 Bi1 Au1'
_symmetry_space_group_name_H-M 'P 1'
_symmetry_Int_Tables_number 1
_cell_length_a 5.171
_cell_length_b 5.171
_cell_length_c 5.171
_cell_angle_alpha 60.00
_cell_angle_beta 60.00
_cell_angle_gamma 60.00
loop_
_symmetry_equiv_pos_as_xyz
'x,y,z'
loop_
_atom_site_label
_atom_site_type_symbol
_atom_site_fract_x
_atom_site_fract_y
_atom_site_fract_z
_atom_site_occupancy
Li1 Li 0.000 0.000 0.000 1
La1 La 0.750 0.750 0.750 1
Bi1 Bi 0.250 0.250 0.250 1
Au1 Au 0.500 0.500 0.500 1
```

Calculated values
The calculation puts the distance to the lowest polymorph of the same formula at 142 meV/atom. As for the volume: 97.78 Å³/cell. Its calculated total energy is -4.106 eV per atom. The space group is No. 216. Its total magnetization is 0.00 Bohr magnetons per cell.

3.
## LaNdBi4Au2 (GGA-PBE)

Data for an optimized crystal structure of LaNdBi4Au2.

Structure (CIF):
```
data_LaNdBi4Au2
_chemical_formula_sum 'La1 Nd1 Bi4 Au2'
_symmetry_space_group_name_H-M 'P 1'
_symmetry_Int_Tables_number 1
_cell_length_a 4.678
_cell_length_b 4.678
_cell_length_c 10.180
_cell_angle_alpha 90.00
_cell_angle_beta 90.00
_cell_angle_gamma 90.00
loop_
_symmetry_equiv_pos_as_xyz
'x,y,z'
loop_
_atom_site_label
_atom_site_type_symbol
_atom_site_fract_x
_atom_site_fract_y
_atom_site_fract_z
_atom_site_occupancy
La1 La 0.000 0.000 0.000 1
Nd1 Nd 0.500 0.500 0.524 1
Bi1 Bi 0.000 0.000 0.573 1
Bi2 Bi 0.000 0.500 0.264 1
Bi3 Bi 0.500 0.000 0.264 1
Bi4 Bi 0.500 0.500 0.947 1
Au1 Au 0.000 0.500 0.759 1
Au2 Au 0.500 0.000 0.759 1
```

Calculated values
As for the volume: 222.76 Å³/cell. Its calculated total energy is -4.674 eV per atom. The space group is No. 99. Its total magnetization is 0.01 Bohr magnetons per cell.

4.
## LaNdBi2Sb2Au2 (GGA-PBE)

Data for an optimized crystal structure of LaNdBi2Sb2Au2.

Structure (CIF):
```
data_LaNdBi2Sb2Au2
_chemical_formula_sum 'La1 Nd1 Bi2 Sb2 Au2'
_symmetry_space_group_name_H-M 'P 1'
_symmetry_Int_Tables_number 1
_cell_length_a 4.558
_cell_length_b 4.558
_cell_length_c 10.396
_cell_angle_alpha 90.00
_cell_angle_beta 90.00
_cell_angle_gamma 90.00
loop_
_symmetry_equiv_pos_as_xyz
'x,y,z'
loop_
_atom_site_label
_atom_site_type_symbol
_atom_site_fract_x
_atom_site_fract_y
_atom_site_fract_z
_atom_site_occupancy
La1 La 0.000 0.000 0.000 1
Nd1 Nd 0.500 0.500 0.517 1
Bi1 Bi 0.000 0.500 0.261 1
Bi2 Bi 0.500 0.000 0.261 1
Sb1 Sb 0.000 0.000 0.581 1
Sb2 Sb 0.500 0.500 0.930 1
Au1 Au 0.000 0.500 0.755 1
Au2 Au 0.500 0.000 0.755 1
```

Calculated values
As for the volume: 215.98 Å³/cell. Its calculated total energy is -4.771 eV per atom. The space group is No. 99. Its total magnetization is 0.00 Bohr magnetons per cell.